[1]
CsSmLuTe3: relaxed, PBE.

a b c (Å): 9.053 9.053 12.060
angles (deg): 90.00 90.00 149.81
Fractional coordinates of all 12 atoms:
Cs 0.743 0.257 0.250
Cs 0.257 0.743 0.750
Lu 0.464 0.536 0.250
Lu 0.536 0.464 0.750
Sm 0.000 0.000 0.000
Sm 0.000 0.000 0.500
Te 0.377 0.623 0.049
Te 0.062 0.938 0.250
Te 0.377 0.623 0.451
Te 0.623 0.377 0.549
Te 0.938 0.062 0.750
Te 0.623 0.377 0.951

Its energy above the lowest structure with this stoichiometry is 0 meV per atom.

***

[2]
TmAlZnNi: relaxed, PBE.

a b c (Å): 7.024 5.181 5.181
angles (deg): 46.14 90.00 90.00
Fractional coordinates of all 8 atoms:
Al 0.195 0.151 0.151
Al 0.805 0.151 0.151
Ni 0.500 0.275 0.275
Ni 0.000 0.713 0.713
Tm 0.000 0.436 0.436
Tm 0.500 0.564 0.564
Zn 0.305 0.855 0.855
Zn 0.695 0.855 0.855

Its energy above the lowest structure with this stoichiometry is 6 meV per atom.

***

[3]
Dy2Tm3ScBi2Os: relaxed, PBE.

a b c (Å): 4.195 8.127 8.127
angles (deg): 119.28 90.00 90.00
Fractional coordinates of all 9 atoms:
Bi 0.500 0.658 0.332
Bi 0.500 0.332 0.658
Dy 0.500 0.000 0.766
Dy 0.500 0.766 0.000
Os 0.000 0.021 0.021
Sc 0.500 0.230 0.230
Tm 0.000 0.382 0.004
Tm 0.000 0.004 0.382
Tm 0.000 0.606 0.606

The calculation puts the raw total energy at -5.903 eV per atom.